First-principles (PBE) data for an optimized crystal structure of Cs2TaGaCl6, as listed in Alexandria via LeMat-Bulk.

Cell lengths 7.6721, 7.6721, 7.6721 Å; angles 60.00, 60.00, 60.00 degrees
Fractional coordinates of all 10 atoms:
Cs (0.2500, 0.2500, 0.2500)
Cs (0.7500, 0.7500, 0.7500)
Ta (0.0000, 0.0000, 0.0000)
Ga (0.5000, 0.5000, 0.5000)
Cl (0.2292, 0.2292, 0.7708)
Cl (0.2292, 0.7708, 0.2292)
Cl (0.2292, 0.7708, 0.7708)
Cl (0.7708, 0.2292, 0.2292)
Cl (0.7708, 0.2292, 0.7708)
Cl (0.7708, 0.7708, 0.2292)

Calculated values
VASP energy, eV/atom: -4.138
Total magnetic moment, μB per cell: 2.0
DOS at the Fermi energy, states/eV/cell: 10.543
Space group: Fm-3m (225)

***

First-principles (PBE) data for an optimized crystal structure of TbReGe4, as listed in Alexandria via LeMat-Bulk.

Cell lengths 6.4204, 6.4231, 6.8514 Å; angles 90.62, 90.00, 119.98 degrees
Fractional coordinates of all 12 atoms:
Tb (0.0907, 0.0005, 0.2499)
Tb (0.9093, 0.9995, 0.7501)
Re (0.0000, 0.5000, 0.0000)
Re (0.5000, 0.5000, 0.5000)
Ge (0.1433, 0.5108, 0.3483)
Ge (0.3088, 0.9112, 0.9108)
Ge (0.3670, 0.5105, 0.8481)
Ge (0.3977, 0.0888, 0.5893)
Ge (0.6023, 0.9112, 0.4107)
Ge (0.6330, 0.4895, 0.1519)
Ge (0.6912, 0.0888, 0.0892)
Ge (0.8567, 0.4892, 0.6517)

Calculated values
VASP energy, eV/atom: -6.036
Total magnetic moment, μB per cell: 0.0
Formation energy from the elements, eV/atom: -0.11
DOS at the Fermi energy, states/eV/cell: 6.601
Space group: P-1 (2)

***

First-principles (PBE) data for an optimized crystal structure of Na2ZrNiN, as listed in Alexandria via LeMat-Bulk.

Cell lengths 4.4906, 4.4906, 4.3529 Å; angles 90.00, 90.00, 90.00 degrees
Fractional coordinates of all 5 atoms:
Na (0.0000, 0.5000, 0.0000)
Na (0.5000, 0.0000, 0.0000)
Zr (0.0000, 0.0000, 0.5000)
Ni (0.5000, 0.5000, 0.5000)
N (0.0000, 0.0000, 0.0000)

Calculated values
VASP energy, eV/atom: -4.933
Total magnetic moment, μB per cell: 0.0
DOS at the Fermi energy, states/eV/cell: 2.291
Space group: P4/mmm (123)